# 1
# ErFeB3 GGA-PBE relaxed
data_ErFeB3
_chemical_formula_sum 'Er2 Fe2 B6'
_space_group_name_H-M_alt 'P 1'
_space_group_IT_number 1
_space_group_name_Hall 'P 1'
_cell_length_a 3.1044
_cell_length_b 4.6741
_cell_length_c 7.3010
_cell_angle_alpha 90.00
_cell_angle_beta 102.27
_cell_angle_gamma 90.00
loop_
_atom_site_label
_atom_site_type_symbol
_atom_site_fract_x
_atom_site_fract_y
_atom_site_fract_z
Er1 Er 0.9147 0.7500 0.8293
Er2 Er 0.0853 0.2500 0.1707
Fe1 Fe 0.5899 0.7500 0.1798
Fe2 Fe 0.4101 0.2500 0.8202
B1 B 0.7130 0.0374 0.4260
B2 B 0.2870 0.9626 0.5740
B3 B 0.2870 0.5374 0.5740
B4 B 0.7130 0.4626 0.4260
B5 B 0.1856 0.7500 0.3712
B6 B 0.8144 0.2500 0.6288
# total energy: -6.665 eV per atom
# formation energy: -54 meV per atom
# spin magnetization: 0.00 μB/atom

***

# 2
# Er3Fe2B9 GGA-PBE relaxed
data_Er3Fe2B9
_chemical_formula_sum 'Er3 Fe2 B9'
_space_group_name_H-M_alt 'P 1'
_space_group_IT_number 1
_space_group_name_Hall 'P 1'
_cell_length_a 3.1328
_cell_length_b 7.7245
_cell_length_c 7.7245
_cell_angle_alpha 57.06
_cell_angle_beta 78.30
_cell_angle_gamma 78.30
loop_
_atom_site_label
_atom_site_type_symbol
_atom_site_fract_x
_atom_site_fract_y
_atom_site_fract_z
Er1 Er 0.0000 0.0000 0.0000
Er2 Er 0.7344 0.2656 0.2656
Er3 Er 0.2656 0.7344 0.7344
Fe1 Fe 0.5000 0.3314 0.6686
Fe2 Fe 0.5000 0.6686 0.3314
B1 B 0.0000 0.5000 0.5000
B2 B 0.6299 0.0552 0.6851
B3 B 0.3701 0.9448 0.3149
B4 B 0.6299 0.6851 0.0552
B5 B 0.3701 0.3149 0.9448
B6 B 0.8789 0.8501 0.3921
B7 B 0.1211 0.1499 0.6079
B8 B 0.8789 0.3921 0.8501
B9 B 0.1211 0.6079 0.1499
# total energy: -6.766 eV per atom
# formation energy: -287 meV per atom
# spin magnetization: 0.15 μB/atom

***

# 3
# ErFeB4 GGA-PBE relaxed
data_ErFeB4
_chemical_formula_sum 'Er1 Fe1 B4'
_space_group_name_H-M_alt 'P 1'
_space_group_IT_number 1
_space_group_name_Hall 'P 1'
_cell_length_a 4.3809
_cell_length_b 4.3809
_cell_length_c 4.3809
_cell_angle_alpha 60.00
_cell_angle_beta 60.00
_cell_angle_gamma 60.00
loop_
_atom_site_label
_atom_site_type_symbol
_atom_site_fract_x
_atom_site_fract_y
_atom_site_fract_z
B1 B 0.6037 0.6037 0.1888
B2 B 0.6037 0.1888 0.6037
B3 B 0.6037 0.6037 0.6037
B4 B 0.1888 0.6037 0.6037
Fe1 Fe 0.0000 0.0000 0.0000
Er1 Er 0.2500 0.2500 0.2500
# E above lowest polymorph: 1157 meV/atom
# total energy: -6.103 eV per atom
# formation energy: 520 meV per atom
# spin magnetization: 0.31 μB/atom

***

# 4
# Er2MnFe5B2 GGA-PBE relaxed
data_Er2MnFe5B2
_chemical_formula_sum 'Er4 Mn2 Fe10 B4'
_space_group_name_H-M_alt 'P 1'
_space_group_IT_number 1
_space_group_name_Hall 'P 1'
_cell_length_a 3.0635
_cell_length_b 8.9660
_cell_length_c 8.9660
_cell_angle_alpha 90.00
_cell_angle_beta 90.00
_cell_angle_gamma 90.00
loop_
_atom_site_label
_atom_site_type_symbol
_atom_site_fract_x
_atom_site_fract_y
_atom_site_fract_z
Er1 Er 0.0000 0.6778 0.1778
Er2 Er 0.0000 0.3222 0.8222
Er3 Er 0.0000 0.1778 0.3222
Er4 Er 0.0000 0.8222 0.6778
Mn1 Mn 0.0000 0.0000 0.0000
Mn2 Mn 0.0000 0.5000 0.5000
Fe1 Fe 0.5000 0.2239 0.0664
Fe2 Fe 0.5000 0.7761 0.9336
Fe3 Fe 0.5000 0.0664 0.7761
Fe4 Fe 0.5000 0.7239 0.4336
Fe5 Fe 0.5000 0.9336 0.2239
Fe6 Fe 0.5000 0.2761 0.5664
Fe7 Fe 0.5000 0.5664 0.7239
Fe8 Fe 0.5000 0.4336 0.2761
Fe9 Fe 0.5000 0.5000 0.0000
Fe10 Fe 0.5000 0.0000 0.5000
B1 B 0.0000 0.1189 0.6189
B2 B 0.0000 0.8811 0.3811
B3 B 0.0000 0.6189 0.8811
B4 B 0.0000 0.3811 0.1189
# total energy: -7.521 eV per atom
# formation energy: -125 meV per atom
# spin magnetization: 0.14 μB/atom

***

The lowest formation energy belongs to which entry? Er3Fe2B9

***

total energy of number 4 (Er2MnFe5B2)? -7.521 eV per atom

***

Look up the formation energy of the fourth one. -125 meV per atom